{"formula": "Li2BeZnF6", "functional": "PBE-GGA", "state": "optimized geometry", "raw_formation_energy_ev_per_atom": -2.69, "total_magnetization_mub_per_cell": 0.000, "dos_ef_per_ev_cell": 0.0, "lattice_angstrom": [[4.5287, 0.0000, 0.0000], [0.0000, 5.0672, 0.0000], [0.0000, 0.0000, 5.0672]], "species": ["Li", "Li", "Be", "Zn", "F", "F", "F", "F", "F", "F"], "fractional_positions": [[0.9429, 0.5000, 0.0000], [0.9429, 0.0000, 0.5000], [0.6072, 0.0000, 0.0000], [0.5864, 0.5000, 0.5000], [0.7306, 0.2327, 0.2327], [0.7306, 0.2327, 0.7673], [0.1682, 0.5000, 0.5000], [0.2765, 0.0000, 0.0000], [0.7306, 0.7673, 0.7673], [0.7306, 0.7673, 0.2327]]}